1.
The following is a DFT calculation (PBE+U) of an optimized crystal structure of WAuF2.

Cell: 4.379 4.379 4.379 Å, 60.00 60.00 60.00°
Each line ends with the local moment (μB).
Fractional positions:
Au (0.500, 0.500, 0.500)  -0.11
W (0.000, 0.000, 0.000)  2.94
F (0.250, 0.250, 0.250)  -0.09
F (0.750, 0.750, 0.750)  -0.09

Output
Energy relative to the lowest polymorph listed for this composition (kJ/mol of formula units): 283
Magnetic moment (Bohr magnetons per cell): 3.0

2.
The following is a DFT calculation (PBE+U) of an optimized crystal structure of W2AuF.

Cell: 6.883 6.883 5.783 Å, 53.48 53.48 90.00°
Each line ends with the local moment (μB).
Fractional positions:
Au (0.000, 0.000, 0.000)  0.04
Au (0.750, 0.250, 0.500)  0.04
W (0.576, 0.125, 0.250)  2.67
W (0.174, 0.625, 0.250)  2.67
W (0.375, 0.424, 0.750)  2.67
W (0.875, 0.826, 0.750)  2.67
F (0.500, 0.500, 0.000)  0.03
F (0.250, 0.750, 0.500)  0.03

Output
Energy relative to the lowest polymorph listed for this composition (kJ/mol of formula units): 0
Magnetic moment (Bohr magnetons per cell): 11.9

3.
The following is a DFT calculation (PBE+U) of an optimized crystal structure of WAuF2.

Cell: 10.420 10.420 10.420 Å, 15.44 15.44 15.44°
Fractional positions:
Au (0.000, 0.000, 0.000)
W (0.500, 0.500, 0.500)
F (0.884, 0.884, 0.884)
F (0.116, 0.116, 0.116)

Output
Energy relative to the lowest polymorph listed for this composition (kJ/mol of formula units): 0
Magnetic moment (Bohr magnetons per cell): 0.0

4.
The following is a DFT calculation (PBE+U) of an optimized crystal structure of WAu3F.

Cell: 4.604 4.604 4.604 Å, 90.00 90.00 90.00°
Each line ends with the local moment (μB).
Fractional positions:
Au (0.000, 0.500, 0.000)  0.10
Au (0.000, 0.000, 0.500)  0.05
Au (0.500, 0.000, 0.000)  0.10
W (0.500, 0.500, 0.500)  3.40
F (0.000, 0.000, 0.000)  0.05

Output
Energy relative to the lowest polymorph listed for this composition (kJ/mol of formula units): 0
Magnetic moment (Bohr magnetons per cell): 4.6

5.
The following is a DFT calculation (PBE+U) of an optimized crystal structure of WAu3F.

Cell: 5.153 5.153 5.153 Å, 90.00 90.00 90.00°
Fractional positions:
Au (0.000, 0.500, 0.000)
Au (0.000, 0.000, 0.500)
Au (0.500, 0.000, 0.000)
W (0.000, 0.000, 0.000)
F (0.500, 0.500, 0.500)

Output
Energy relative to the lowest polymorph listed for this composition (kJ/mol of formula units): 166
Magnetic moment (Bohr magnetons per cell): 0.0